(1)
First-principles (PBE) data for a geometry-optimized EuCrN structure, as listed in Alexandria.

Cell: 3.3084 3.3084 5.0929 Å, 90.00 90.00 120.00°
Space group P-6m2 (No. 187)
Symmetry-distinct sites (fractional):
Eu (0.0000, 0.0000, 0.0000)
Cr (0.3333, 0.6667, 0.5000)
N (0.6667, 0.3333, 0.5000)

Energy above the lowest structure with this stoichiometry   0.0 meV/atom
Density   7.50 Mg/m³
ΔE_f (raw)   -132 meV/atom
Raw total energy   -9.540 eV/atom
N(E_F)   0.955 states/eV/atom

---

(2)
First-principles (PBE) data for a geometry-optimized LaHgW2 structure, as listed in Alexandria.

Cell: 6.050 9.713 2.813 Å, 90.00 90.00 90.00°
Space group Cmmm (No. 65)
Symmetry-distinct sites (fractional):
La (0.000, 0.000, 0.000)
Hg (0.000, 0.500, 0.000)
W (0.250, 0.250, 0.500)

Density   14.21 Mg/m³
Formation enthalpy at 0 K   1010 meV/atom
Raw total energy   -6.774 eV/atom
N(E_F)   0.827 states/eV/atom

---

(3)
First-principles (PBE) data for a geometry-optimized YbCu4Ag structure, as listed in Alexandria.

Cell: 7.176 7.176 7.176 Å, 90.00 90.00 90.00°
Space group F-43m (No. 216)
Symmetry-distinct sites (fractional):
Yb (0.000, 0.000, 0.000)
Cu (0.124, 0.124, 0.624)
Ag (0.250, 0.250, 0.250)

Density   9.62 Mg/m³
Formation enthalpy at 0 K   -175 meV/atom
Raw total energy   -3.636 eV/atom
N(E_F)   2.432 states/eV/atom

---

(4)
First-principles (PBE) data for a geometry-optimized LiP3 structure, as listed in Alexandria.

Cell: 2.919 2.919 6.797 Å, 90.00 90.00 90.00°
Space group P4/mmm (No. 123)
Symmetry-distinct sites (fractional):
Li (0.000, 0.000, 0.000)
P (0.000, 0.000, 0.500)
P (0.500, 0.500, 0.272)

Energy above the lowest structure with this stoichiometry   350.7 meV/atom
Density   2.86 Mg/m³
Formation enthalpy at 0 K   324 meV/atom
Raw total energy   -4.211 eV/atom
N(E_F)   0.371 states/eV/atom

---

(5)
First-principles (PBE) data for a geometry-optimized Y4Bi2Te structure, as listed in Alexandria.

Cell: 9.286 9.286 9.407 Å, 90.00 90.00 90.00°
Space group I-42d (No. 122)
Symmetry-distinct sites (fractional):
Y (0.073, 0.681, 0.451)
Bi (0.121, 0.750, 0.125)
Te (0.000, 0.000, 0.500)

Density   7.38 Mg/m³
ΔE_f (raw)   -878 meV/atom
Raw total energy   -6.130 eV/atom
N(E_F)   1.084 states/eV/atom

---

(6)
First-principles (PBE) data for a geometry-optimized AcLaAlZn structure, as listed in Alexandria.

Cell: 3.834 3.834 7.786 Å, 90.00 90.00 90.00°
Space group P4mm (No. 99)
Symmetry-distinct sites (fractional):
Ac (0.000, 0.000, 0.000)
La (0.000, 0.000, 0.504)
Al (0.500, 0.500, 0.265)
Zn (0.500, 0.500, 0.735)

Energy above the lowest structure with this stoichiometry   0.0 meV/atom
Density   6.65 Mg/m³
Formation enthalpy at 0 K   -282 meV/atom
Raw total energy   -3.795 eV/atom
N(E_F)   0.878 states/eV/atom